Entry 1:
Here is a relaxed HoTmAg2 crystal from Alexandria. Energies are from PBE.

abc: 5.1233 5.1233 3.5685
angles: 90.00 90.00 90.00
Last column: nearest neighbours and their distance in Å.
Space group P4/mmm (No. 123)
Asymmetric unit:
Ho: 0.0000 0.0000 0.0000 x1  8 Ag 3.12
Tm: 0.5000 0.5000 0.0000 x1  8 Ag 3.12
Ag: 0.0000 0.5000 0.5000 x2  4 Tm 3.12, 4 Ho 3.12

Results
Magnetization, μB/f.u.: 0.00
Formation energy, eV per atom: -0.333

Entry 2:
Here is a relaxed Tb6Fe2Hg crystal from Alexandria. Energies are from PBE.

abc: 9.4170 9.7297 9.9786
angles: 90.00 90.00 90.00
Last column: nearest neighbours and their distance in Å.
Space group Immm (No. 71)
Asymmetric unit:
Tb: 0.0000 0.2144 0.2229 x8  1 Fe 2.79, 1 Hg 3.05
Tb: 0.2051 0.5000 0.1863 x8  3 Fe 2.81-2.89
Tb: 0.2076 0.3123 0.5000 x8  2 Fe 2.89
Fe: 0.0000 0.3878 0.0000 x4  1 Fe 2.18
Fe: 0.0000 0.5000 0.3912 x4  1 Fe 2.17
Hg: 0.0000 0.0000 0.0000 x2  8 Tb 3.05-3.30
Hg: 0.0000 0.0000 0.5000 x2  12 Tb 3.34-3.61

Results
Magnetization, μB/f.u.: 1.30
Formation energy, eV per atom: -0.134

Entry 3:
Here is a relaxed LiThBiSe crystal from Alexandria. Energies are from PBE.

abc: 4.5974 4.5974 9.8991
angles: 90.00 90.00 90.00
Last column: nearest neighbours and their distance in Å.
Space group P4/nmm (No. 129, origin choice 2)
Asymmetric unit:
Li: 0.2500 0.7500 0.0000 x2  4 Bi 2.90, 4 Li 3.25
Th: 0.2500 0.2500 0.3139 x2  4 Se 2.95
Bi: 0.2500 0.2500 0.8209 x2  4 Li 2.90
Se: 0.2500 0.7500 0.5000 x2  4 Th 2.95, 4 Se 3.25

Results
Magnetization, μB/f.u.: 0.00
Formation energy without anion corrections, eV per atom: -0.963

Entry 4:
Here is a relaxed SrPmZnAg crystal from Alexandria. Energies are from PBE.

abc: 7.5789 7.5789 7.5789
angles: 90.00 90.00 90.00
Last column: nearest neighbours and their distance in Å.
Space group F-43m (No. 216)
Asymmetric unit:
Sr: 0.0000 0.0000 0.0000 x4  4 Ag 3.28, 4 Zn 3.28
Pm: 0.0000 0.0000 0.5000 x4  4 Zn 3.28, 4 Ag 3.28
Zn: 0.2500 0.2500 0.2500 x4  4 Sr 3.28, 4 Pm 3.28
Ag: 0.2500 0.2500 0.7500 x4  4 Pm 3.28, 4 Sr 3.28

Results
Magnetization, μB/f.u.: 0.00
Formation energy, eV per atom: -0.208

Entry 5:
Here is a relaxed LaRu4 crystal from Alexandria. Energies are from PBE.

abc: 5.8043 5.8043 5.8043
angles: 90.00 90.00 90.00
Last column: nearest neighbours and their distance in Å.
Space group Im-3m (No. 229)
Asymmetric unit:
La: 0.0000 0.0000 0.0000 x2  8 Ru 2.51
Ru: 0.2500 0.2500 0.2500 x8  2 La 2.51

Results
Magnetization, μB/f.u.: 0.00
Formation energy, eV per atom: 1.692

Entry 6:
Here is a relaxed Ga2BiB crystal from Alexandria. Energies are from PBE.

abc: 6.8765 6.8765 6.8765
angles: 90.00 90.00 90.00
Last column: nearest neighbours and their distance in Å.
Space group Fm-3m (No. 225)
Asymmetric unit:
Ga: 0.2500 0.2500 0.2500 x8  4 Bi 2.98, 4 B 2.98
Bi: 0.0000 0.0000 0.0000 x4  8 Ga 2.98
B: 0.0000 0.0000 0.5000 x4  8 Ga 2.98

Results
Magnetization, μB/f.u.: 0.00
Formation energy, eV per atom: 0.960

Entry 7:
Here is a relaxed Y12Be3H5 crystal from Alexandria. Energies are from PBE.

abc: 15.0746 15.0746 15.0746
angles: 90.00 90.00 90.00
Last column: nearest neighbours and their distance in Å.
Space group Ia-3d (No. 230)
Asymmetric unit:
Y: 0.0356 0.0602 0.6541 x96  1 H 2.17
Be: 0.0000 0.2500 0.1250 x24  8 Y 2.94-2.96
H: 0.0000 0.0000 0.0000 x16  6 Y 2.55
H: 0.0000 0.2500 0.3750 x24  4 Y 2.17

Results
Magnetization, μB/f.u.: 0.00
VASP energy, eV/atom: -5.39

Entry 8:
Here is a relaxed ZrBi crystal from Alexandria. Energies are from PBE.

abc: 3.9681 3.9681 13.6181
angles: 90.00 90.00 90.00
Last column: nearest neighbours and their distance in Å.
Space group I4_1md (No. 109)
Asymmetric unit:
Zr: 0.0000 0.0000 0.0000 x4  6 Bi 3.00-3.04
Bi: 0.0000 0.0000 0.5852 x4  6 Zr 3.00-3.04

Results
Magnetization, μB/f.u.: 0.48
Formation energy, eV per atom: -0.240

Entry 9:
Here is a relaxed Tm2UP3Rh12 crystal from Alexandria. Energies are from PBE.

abc: 8.8007 8.8007 13.0648
angles: 90.00 90.00 120.00
Last column: nearest neighbours and their distance in Å.
Space group R-3m (No. 166, hexagonal axes)
Asymmetric unit:
Tm: 0.0000 0.0000 0.1213 x6  3 Rh 2.53
U: 0.0000 0.0000 0.5000 x3  6 Rh 2.60
P: 0.0000 0.5000 0.0000 x9  6 Rh 2.27-2.51
Rh: 0.0072 0.5036 0.8261 x18  1 P 2.27, 1 Tm 2.53
Rh: 0.0313 0.5157 0.3814 x18  2 P 2.51, 1 Rh 2.73

Results
Magnetization, μB/f.u.: 0.00
Formation energy, eV per atom: -0.444

Entry 10:
Here is a relaxed Na2ZnAu crystal from Alexandria. Energies are from PBE.

abc: 10.8117 4.7054 8.4931
angles: 90.00 119.81 90.00
Last column: nearest neighbours and their distance in Å.
Space group Cm (No. 8)
Asymmetric unit:
Na: 0.0000 0.0000 0.0000 x2  2 Au 2.93, 2 Zn 3.10-3.11
Na: 0.0004 0.0000 0.4971 x2  2 Zn 3.13, 4 Au 3.14-3.15, 4 Na 3.32-3.33
Na: 0.1296 0.5000 0.3421 x2  1 Zn 3.05, 4 Au 3.12-3.36, 2 Na 3.32
Na: 0.3735 0.0000 0.6566 x2  1 Zn 3.06, 4 Au 3.14-3.36, 2 Na 3.33
Zn: 0.2426 0.0000 0.9035 x2  3 Au 2.64-2.68, 2 Zn 2.80
Zn: 0.2556 0.5000 0.0909 x2  3 Au 2.64-2.68, 2 Zn 2.80
Au: 0.1931 0.5000 0.7430 x2  3 Zn 2.64-2.68, 1 Na 2.93
Au: 0.3079 0.0000 0.2526 x2  3 Zn 2.64-2.68, 1 Na 2.93

Results
Magnetization, μB/f.u.: 0.00
Formation energy, eV per atom: -0.213

Entry 11:
Here is a relaxed Pm6Pr4Tm crystal from Alexandria. Energies are from PBE.

abc: 6.7274 6.7274 17.3699
angles: 90.00 90.00 90.00
Last column: nearest neighbours and their distance in Å.
Space group I-42m (No. 121)
Asymmetric unit:
Pm: 0.0000 0.5000 0.0000 x4  4 Pr 3.34, 2 Tm 3.36
Pm: 0.1886 0.1886 0.1750 x8  5 Pr 3.40-3.64, 1 Tm 3.53, 1 Pm 3.59
Pr: 0.1777 0.1777 0.3707 x8  7 Pm 3.34-3.64, 1 Pr 3.38
Tm: 0.0000 0.0000 0.0000 x2  8 Pm 3.36-3.53

Results
Magnetization, μB/f.u.: 0.00
Formation energy, eV per atom: 0.271

Entry 12:
Here is a relaxed Tl2CdI5 crystal from Alexandria. Energies are from PBE.

abc: 6.7674 17.6279 13.0305
angles: 90.00 90.00 90.00
Last column: nearest neighbours and their distance in Å.
Space group Cmcm (No. 63)
Asymmetric unit:
Tl: 0.0000 0.1705 0.0989 x8  5 I 3.30-3.61
Cd: 0.0000 0.1765 0.7500 x4  4 I 2.89-3.04
I: 0.0000 0.0338 0.6198 x8  1 Cd 3.04, 2 I 3.34-3.39
I: 0.0000 0.2926 0.5929 x8  1 Cd 2.89
I: 0.0000 0.3247 0.2500 x4  2 Tl 3.36, 2 Cd 3.38

Results
Magnetization, μB/f.u.: 0.00
Formation energy without anion corrections, eV per atom: -0.461

Repeat the twelfth record exactly.
Here is a relaxed Tl2CdI5 crystal from Alexandria. Energies are from PBE.

abc: 6.7674 17.6279 13.0305
angles: 90.00 90.00 90.00
Last column: nearest neighbours and their distance in Å.
Space group Cmcm (No. 63)
Asymmetric unit:
Tl: 0.0000 0.1705 0.0989 x8  5 I 3.30-3.61
Cd: 0.0000 0.1765 0.7500 x4  4 I 2.89-3.04
I: 0.0000 0.0338 0.6198 x8  1 Cd 3.04, 2 I 3.34-3.39
I: 0.0000 0.2926 0.5929 x8  1 Cd 2.89
I: 0.0000 0.3247 0.2500 x4  2 Tl 3.36, 2 Cd 3.38

Results
Magnetization, μB/f.u.: 0.00
Formation energy without anion corrections, eV per atom: -0.461